(1)
This record from Alexandria via LeMat-Bulk describes an optimized crystal structure of YAlCd. The functional is PBE-GGA.

Properties
DFT formation energy (eV/atom): -0.26
Total moment (μB per atom): 0.00
Calculated volume (Å³ per atom): 22.76
Energy (eV per atom): -3.967

Cell lengths 5.0625, 8.6909, 6.2085 Å; angles 90.00, 90.00, 90.00 degrees
Closest atoms and distances in Å follow each position.
Space group Cmcm (No. 63)
One atom of each set of equivalent atoms:
1 Y 0.0000 0.1652 0.2500 x4  5 Cd 2.91-3.10
2 Al 0.0000 0.5000 0.0000 x4  2 Al 3.10, 6 Cd 3.27-3.31, 6 Y 3.30
3 Cd 0.0000 0.1694 0.7500 x4  5 Y 2.91-3.10

***

(2)
This record from Alexandria via LeMat-Bulk describes an optimized crystal structure of Al2GaF7. The functional is PBE-GGA.

Properties
E_form (uncorrected) (eV/atom): -3.1202
Total moment (μB per atom): 0.00
Calculated volume (Å³ per atom): 13.66
Energy (eV per atom): -5.481

Cell lengths 5.8512, 3.6656, 6.4699 Å; angles 90.00, 100.17, 90.00 degrees
Closest atoms and distances in Å follow each position.
Space group P2/m (No. 10)
One atom of each set of equivalent atoms:
1 Al 0.1937 0.0000 0.3866 x2  6 F 1.76-1.90
2 Ga 0.5000 0.5000 0.0000 x1  4 F 2.58
3 F 0.1272 0.0000 0.6629 x2  2 Al 1.85-1.90
4 F 0.1966 0.5000 0.3944 x2  2 Al 1.83
5 F 0.2495 0.0000 0.1287 x2  1 Al 1.76
6 F 0.5000 0.0000 0.5000 x1  2 Al 1.81

***

(3)
This record from Alexandria via LeMat-Bulk describes an optimized crystal structure of RbCaF. The functional is PBE-GGA.

Properties
E_form (uncorrected) (eV/atom): -1.8158
Total moment (μB per atom): 0.00
Calculated volume (Å³ per atom): 39.50
Energy (eV per atom): -3.429

Cell lengths 14.0987, 5.7981, 5.7982 Å; angles 90.00, 90.00, 90.00 degrees
Closest atoms and distances in Å follow each position.
Space group Aem2 (No. 39)
One atom of each set of equivalent atoms:
1 Rb 0.1550 0.2500 0.0000 x4  4 Rb 4.10
2 Ca 0.4130 0.2500 0.5015 x4  4 F 2.39
3 F 0.5000 0.0000 0.2516 x4  4 Ca 2.39

***

(4)
This record from Alexandria via LeMat-Bulk describes an optimized crystal structure of Na10Hg3Pb3. The functional is PBE-GGA.

Properties
DFT formation energy (eV/atom): -0.14
Total moment (μB per atom): 0.00
Calculated volume (Å³ per atom): 29.78
Energy (eV per atom): -1.716

Cell lengths 9.4170, 9.4170, 6.2048 Å; angles 90.00, 90.00, 120.00 degrees
Closest atoms and distances in Å follow each position.
Space group P-62m (No. 189)
One atom of each set of equivalent atoms:
1 Na 0.0000 0.2533 0.0000 x3  3 Hg 3.23-3.36, 2 Pb 3.40
2 Na 0.0000 0.7518 0.5000 x3  3 Pb 3.29-3.31, 2 Hg 3.38
3 Na 0.3333 0.6667 0.2502 x4  2 Na 3.10-3.11, 3 Pb 3.27, 3 Hg 3.30
4 Hg 0.0000 0.6098 0.0000 x3  9 Na 3.23-3.38
5 Pb 0.0000 0.4001 0.5000 x3  9 Na 3.27-3.40

***

(5)
This record from Alexandria via LeMat-Bulk describes an optimized crystal structure of RbIn3Au3. The functional is PBE-GGA.

Properties
DFT formation energy (eV/atom): -0.20
Total moment (μB per atom): 0.00
Calculated volume (Å³ per atom): 31.57
Energy (eV per atom): -2.912
Polymorph energy (0 for the lowest one) (eV per formula unit): 0.00

Cell lengths 7.5152, 7.5152, 27.1108 Å; angles 90.00, 90.00, 120.00 degrees
Closest atoms and distances in Å follow each position.
Space group R-3 (No. 148, hexagonal axes)
One atom of each set of equivalent atoms:
1 Rb 0.0000 0.0000 0.1538 x6  6 Au 3.65-3.86, 3 In 3.82
2 In 0.0468 0.4496 0.2848 x18  4 Au 2.72-2.96
3 Au 0.0279 0.2339 0.7264 x18  4 In 2.72-2.96, 2 Au 2.88

***

(6)
This record from Alexandria via LeMat-Bulk describes an optimized crystal structure of LiZrCl. The functional is PBE-GGA.

Properties
E_form (uncorrected) (eV/atom): -0.4512
Total moment (μB per atom): 0.13
Calculated volume (Å³ per atom): 20.28
Energy (eV per atom): -4.554
Polymorph energy (0 for the lowest one) (eV per formula unit): 0.69

Cell lengths 3.1092, 3.1092, 12.5875 Å; angles 90.00, 90.00, 90.00 degrees
Closest atoms and distances in Å follow each position.
Space group I4mm (No. 107)
One atom of each set of equivalent atoms:
1 Li 0.0000 0.0000 0.0000 x2  4 Cl 3.06, 4 Li 3.11, 4 Zr 3.27
2 Zr 0.0000 0.0000 0.6928 x2  4 Cl 2.81, 4 Zr 3.11
3 Cl 0.0000 0.0000 0.3315 x2  4 Zr 2.81, 4 Li 3.06, 4 Cl 3.11

***

(7)
This record from Alexandria via LeMat-Bulk describes an optimized crystal structure of UMoP. The functional is PBE-GGA.

Properties
DFT formation energy (eV/atom): -0.28
Total moment (μB per atom): 0.61
Calculated volume (Å³ per atom): 17.53
Energy (eV per atom): -9.459

Cell lengths 3.2046, 3.2046, 10.2398 Å; angles 90.00, 90.00, 90.00 degrees
Closest atoms and distances in Å follow each position.
Space group I4mm (No. 107)
One atom of each set of equivalent atoms:
1 U 0.0000 0.0000 0.0000 x2  5 P 3.03-3.11, 5 Mo 3.04-3.09, 4 U 3.20
2 Mo 0.0000 0.0000 0.6984 x2  4 P 2.51
3 P 0.0000 0.0000 0.3039 x2  4 Mo 2.51

***

(8)
This record from Alexandria via LeMat-Bulk describes an optimized crystal structure of CoRe2Ru. The functional is PBE-GGA.

Properties
DFT formation energy (eV/atom): 0.28
Total moment (μB per atom): 0.28
Calculated volume (Å³ per atom): 13.93
Energy (eV per atom): -10.041
Polymorph energy (0 for the lowest one) (eV per formula unit): 1.34

Cell lengths 6.0634, 6.0634, 6.0634 Å; angles 90.00, 90.00, 90.00 degrees
Closest atoms and distances in Å follow each position.
Space group F-43m (No. 216)
One atom of each set of equivalent atoms:
1 Co 0.0000 0.0000 0.0000 x4  4 Re 2.63, 4 Ru 2.63
2 Re 0.0000 0.0000 0.5000 x4  4 Ru 2.63, 4 Re 2.63
3 Re 0.2500 0.2500 0.7500 x4  4 Co 2.63, 4 Re 2.63
4 Ru 0.2500 0.2500 0.2500 x4  4 Co 2.63, 4 Re 2.63

***

(9)
This record from Alexandria via LeMat-Bulk describes an optimized crystal structure of KTeRh2. The functional is PBE-GGA.

Properties
E_form (uncorrected) (eV/atom): 0.3392
Total moment (μB per atom): 0.00
Calculated volume (Å³ per atom): 19.17
Energy (eV per atom): -4.396

Cell lengths 4.5182, 4.5182, 3.7554 Å; angles 90.00, 90.00, 90.00 degrees
Closest atoms and distances in Å follow each position.
Space group P4/mmm (No. 123)
One atom of each set of equivalent atoms:
1 K 0.0000 0.0000 0.0000 x1  8 Rh 2.94, 4 Te 3.19
2 Te 0.5000 0.5000 0.0000 x1  8 Rh 2.94, 4 K 3.19
3 Rh 0.0000 0.5000 0.5000 x2  4 K 2.94, 4 Te 2.94, 4 Rh 3.19

***

(10)
This record from Alexandria via LeMat-Bulk describes an optimized crystal structure of PmErSbS. The functional is PBE-GGA.

Properties
E_form (uncorrected) (eV/atom): -1.3949
Total moment (μB per atom): 0.14
Calculated volume (Å³ per atom): 26.71
Energy (eV per atom): -5.786

Cell lengths 4.0860, 4.0860, 22.1686 Å; angles 90.00, 90.00, 120.00 degrees
Closest atoms and distances in Å follow each position.
Space group R3m (No. 160, hexagonal axes)
One atom of each set of equivalent atoms:
1 Pm 0.0000 0.0000 0.0000 x3  3 S 3.04, 3 Sb 3.09
2 Er 0.0000 0.0000 0.1611 x3  3 S 2.88, 3 Sb 2.98
3 Sb 0.0000 0.0000 0.5766 x3  3 Er 2.98, 3 Pm 3.09
4 S 0.0000 0.0000 0.7532 x3  3 Er 2.88, 3 Pm 3.04

***

(11)
This record from Alexandria via LeMat-Bulk describes an optimized crystal structure of Ca2GaSi. The functional is PBE-GGA.

Properties
E_form (uncorrected) (eV/atom): -0.5212
Total moment (μB per atom): 0.00
Calculated volume (Å³ per atom): 25.22
Energy (eV per atom): -3.634

Cell lengths 4.1029, 4.4480, 11.0546 Å; angles 90.00, 90.00, 90.00 degrees
Closest atoms and distances in Å follow each position.
Space group Amm2 (No. 38)
One atom of each set of equivalent atoms:
1 Ca 0.0000 0.0000 0.0000 x2  4 Ga 3.13, 3 Si 3.20-3.22
2 Ca 0.5000 0.0000 0.2811 x2  4 Si 3.12, 3 Ga 3.19-3.24
3 Ga 0.5000 0.0000 0.5741 x2  2 Si 2.55
4 Si 0.0000 0.0000 0.7108 x2  2 Ga 2.55

***

(12)
This record from Alexandria via LeMat-Bulk describes an optimized crystal structure of Sb2TePb. The functional is PBE-GGA.

Properties
E_form (uncorrected) (eV/atom): 0.1996
Total moment (μB per atom): 0.00
Calculated volume (Å³ per atom): 28.80
Energy (eV per atom): -3.574
Polymorph energy (0 for the lowest one) (eV per formula unit): 1.37

Cell lengths 7.7236, 7.7236, 7.7236 Å; angles 90.00, 90.00, 90.00 degrees
Closest atoms and distances in Å follow each position.
Space group Fm-3m (No. 225)
One atom of each set of equivalent atoms:
1 Sb 0.2500 0.2500 0.2500 x8  4 Pb 3.34, 4 Te 3.34
2 Te 0.0000 0.0000 0.0000 x4  8 Sb 3.34
3 Pb 0.0000 0.0000 0.5000 x4  8 Sb 3.34